1.
## LiBOsS2 (GGA-PBE)

Data for a relaxed LiBOsS2 crystal.

CIF file:
```
data_LiBOsS2
_cell_length_a 4.366
_cell_length_b 4.366
_cell_length_c 3.973
_cell_angle_alpha 90.00
_cell_angle_beta 90.00
_cell_angle_gamma 90.00
_symmetry_space_group_name_H-M 'P 4/m m m'
_symmetry_Int_Tables_number 123
_symmetry_space_group_name_Hall '-P 4 2'
loop_
_atom_site_label
_atom_site_type_symbol
_atom_site_fract_x
_atom_site_fract_y
_atom_site_fract_z
_atom_site_occupancy
Li1 Li 0.000 0.000 0.000 1
B1 B 0.500 0.500 0.500 1
Os1 Os 0.500 0.500 0.000 1
S1 S 0.000 0.500 0.500 1
```

As for the formation energy from raw total energies: 0.727 eV per atom. For the calculated total energy, the calculation gives -4.889 eV per atom.

2.
## LiTcBOs2 (GGA-PBE)

Data for a relaxed LiTcBOs2 crystal.

CIF file:
```
data_LiTcBOs2
_cell_length_a 4.611
_cell_length_b 4.611
_cell_length_c 4.571
_cell_angle_alpha 90.00
_cell_angle_beta 90.00
_cell_angle_gamma 90.00
_symmetry_space_group_name_H-M 'P 4/m m m'
_symmetry_Int_Tables_number 123
_symmetry_space_group_name_Hall '-P 4 2'
loop_
_atom_site_label
_atom_site_type_symbol
_atom_site_fract_x
_atom_site_fract_y
_atom_site_fract_z
_atom_site_occupancy
Li1 Li 0.000 0.000 0.000 1
Tc1 Tc 0.000 0.000 0.500 1
B1 B 0.500 0.500 0.000 1
Os1 Os 0.000 0.500 0.500 1
```

For the calculated total energy, the calculation gives -5.801 eV per atom.

3.
## LiY2BOs (GGA-PBE)

Data for a relaxed LiY2BOs crystal.

CIF file:
```
data_LiY2BOs
_cell_length_a 5.121
_cell_length_b 5.121
_cell_length_c 3.986
_cell_angle_alpha 90.00
_cell_angle_beta 90.00
_cell_angle_gamma 90.00
_symmetry_space_group_name_H-M 'P 4/m m m'
_symmetry_Int_Tables_number 123
_symmetry_space_group_name_Hall '-P 4 2'
loop_
_atom_site_label
_atom_site_type_symbol
_atom_site_fract_x
_atom_site_fract_y
_atom_site_fract_z
_atom_site_occupancy
Li1 Li 0.000 0.000 0.000 1
Y1 Y 0.000 0.500 0.500 1
B1 B 0.500 0.500 0.500 1
Os1 Os 0.500 0.500 0.000 1
```

For the calculated total energy, the calculation gives -6.703 eV per atom.

4.
## LiZnBOs2 (GGA-PBE)

Data for a relaxed LiZnBOs2 crystal.

CIF file:
```
data_LiZnBOs2
_cell_length_a 4.629
_cell_length_b 4.629
_cell_length_c 3.672
_cell_angle_alpha 90.00
_cell_angle_beta 90.00
_cell_angle_gamma 90.00
_symmetry_space_group_name_H-M 'P 4/m m m'
_symmetry_Int_Tables_number 123
_symmetry_space_group_name_Hall '-P 4 2'
loop_
_atom_site_label
_atom_site_type_symbol
_atom_site_fract_x
_atom_site_fract_y
_atom_site_fract_z
_atom_site_occupancy
Li1 Li 0.000 0.000 0.000 1
Zn1 Zn 0.500 0.500 0.500 1
B1 B 0.500 0.500 0.000 1
Os1 Os 0.000 0.500 0.500 1
```

For the calculated total energy, the calculation gives -4.542 eV per atom.